No. 1
{
  "formula": "BaScZn4",
  "functional": "PBE",
  "state": "optimized geometry",
  "lattice": [[0.000, 3.976, 3.976], [3.976, 0.000, 3.976], [3.976, 3.976, 0.000]],
  "species": ["Ba", "Sc", "Zn", "Zn", "Zn", "Zn"],
  "fractional_positions": [[0.000, 0.000, 0.000], [0.750, 0.750, 0.750], [0.377, 0.377, 0.377], [0.377, 0.377, 0.868], [0.377, 0.868, 0.377], [0.868, 0.377, 0.377]],
  "formation_enthalpy_0k_mev_per_atom": -99,
  "final_energy_ev_per_atom": -2.32
}

No. 2
{
  "formula": "ThTiCd",
  "functional": "PBE",
  "state": "optimized geometry",
  "lattice": [[5.543, -2.468, 0.000], [5.543, 2.468, 0.000], [-0.888, 0.000, 5.417]],
  "species": ["Th", "Th", "Ti", "Ti", "Cd", "Cd"],
  "fractional_positions": [[0.119, 0.119, 0.316], [0.881, 0.881, 0.684], [0.219, 0.219, 0.862], [0.781, 0.781, 0.138], [0.422, 0.422, 0.246], [0.578, 0.578, 0.754]],
  "formation_enthalpy_0k_mev_per_atom": 178,
  "polymorph_energy_mev_per_atom": 0.0,
  "final_energy_ev_per_atom": -5.23
}

| no. | calculated volume (Å³/f.u.) |
| --- | --- |
| 1 | 125.7 |
| 2 | 74.1 |